[1]
Material: LiHfCo3
Method: DFT, PBE
State: optimized geometry

abc: 3.9648 3.9648 3.9648
angles: 90.00 90.00 90.00
Last column: nearest neighbours and their distance in Å.
Space group Pm-3m (No. 221)
Asymmetric unit:
Li (0.0000, 0.0000, 0.0000) x1  6 Co 1.98
Hf (0.5000, 0.5000, 0.5000) x1  12 Co 2.80
Co (0.0000, 0.0000, 0.5000) x3  2 Li 1.98

Summary:
Density of states at the Fermi level (states/eV/cell): 5.3
Crystal system: cubic
Total DFT energy (no corrections) (eV per formula unit): -31.33
ΔE to the lowest computed polymorph (kJ/mol of atoms): 0.0

---

[2]
Material: Mg2BeFe
Method: DFT, PBE
State: optimized geometry

abc: 3.8261 3.8261 7.9913
angles: 90.00 90.00 90.00
Last column: nearest neighbours and their distance in Å.
Space group I-4m2 (No. 119)
Asymmetric unit:
Mg (0.0000, 0.0000, 0.0000) x2  4 Fe 2.71, 4 Mg 2.77, 4 Be 2.77
Mg (0.0000, 0.5000, 0.2500) x2  4 Be 2.71, 4 Fe 2.77, 4 Mg 2.77
Be (0.0000, 0.5000, 0.7500) x2  8 Mg 2.71-2.77, 4 Fe 2.77
Fe (0.0000, 0.0000, 0.5000) x2  8 Mg 2.71-2.77, 4 Be 2.77

Summary:
Density of states at the Fermi level (states/eV/cell): 9.5
Crystal system: tetragonal
Total DFT energy (no corrections) (eV per formula unit): -13.98

---

[3]
Material: CrFe2Mo
Method: DFT, PBE
State: optimized geometry

abc: 5.1653 7.2953 2.6072
angles: 90.00 90.00 90.00
Last column: nearest neighbours and their distance in Å.
Space group Cmmm (No. 65)
Asymmetric unit:
Cr (0.0000, 0.0000, 0.0000) x2  2 Mo 2.58, 8 Fe 2.59, 2 Cr 2.61
Fe (0.2500, 0.2500, 0.5000) x4  4 Fe 2.58-2.61, 4 Cr 2.59, 4 Mo 2.59
Mo (0.0000, 0.5000, 0.0000) x2  2 Cr 2.58, 8 Fe 2.59, 2 Mo 2.61

Summary:
Density of states at the Fermi level (states/eV/cell): 9.0
Crystal system: orthorhombic
Total DFT energy (no corrections) (eV per formula unit): -36.62
ΔE to the lowest computed polymorph (kJ/mol of atoms): 9.1

---

[4]
Material: SrZrMn
Method: DFT, PBE
State: optimized geometry

abc: 3.5784 3.5784 12.2290
angles: 90.00 90.00 90.00
Last column: nearest neighbours and their distance in Å.
Space group I4mm (No. 107)
Asymmetric unit:
Sr (0.0000, 0.0000, 0.0000) x2  5 Zr 3.37-3.73, 5 Mn 3.48-3.72, 4 Sr 3.58
Zr (0.0000, 0.0000, 0.2759) x2  4 Mn 2.71
Mn (0.0000, 0.0000, 0.6958) x2  4 Zr 2.71

Summary:
Density of states at the Fermi level (states/eV/cell): 6.9
Crystal system: tetragonal
Total DFT energy (no corrections) (eV per formula unit): -18.22
ΔE to the lowest computed polymorph (kJ/mol of atoms): 0.0

---

no.,formation energy from the elements (meV/atom)
1,371
2,349
3,190
4,392